--- 1 ---
Below is an optimized crystal structure of LaW5, with properties calculated at the GGA-PBE level.

Cell: 5.6014 5.6014 4.4295 Å, 90.00 90.00 120.00°
Closest atoms and distances in Å follow each position.
Positions (direct):
La (0.0000, 0.0000, 0.0000)  18 W 3.23-3.57
W (0.0000, 0.5000, 0.5000)  8 W 2.74-2.80
W (0.3333, 0.6667, 0.0000)  6 W 2.74
W (0.5000, 0.0000, 0.5000)  8 W 2.74-2.80
W (0.5000, 0.5000, 0.5000)  8 W 2.74-2.80
W (0.6667, 0.3333, 0.0000)  6 W 2.74

Output
DOS(E_F): 0.69 states/eV per atom
Volume: 120.4 Å³/cell

=====

--- 2 ---
Below is an optimized crystal structure of LaW5, with properties calculated at the GGA-PBE level.

Cell: 7.3111 7.3111 4.6963 Å, 90.00 90.00 154.53°
Closest atoms and distances in Å follow each position.
Positions (direct):
La (0.9733, 0.0267, 0.0000)  8 W 2.85-3.00
W (0.7997, 0.2003, 0.5000)  8 W 2.73-2.90
W (0.6506, 0.3494, 0.0000)  6 W 2.62-2.85
W (0.4691, 0.5309, 0.5000)  4 La 2.85, 4 W 2.90-2.98
W (0.2956, 0.7044, 0.0000)  6 W 2.62-2.85
W (0.1450, 0.8550, 0.5000)  8 W 2.73-2.98

Output
DOS(E_F): 0.95 states/eV per atom
Volume: 107.9 Å³/cell

=====

--- 3 ---
Below is an optimized crystal structure of LaW5, with properties calculated at the GGA-PBE level.

Cell: 5.4822 5.4822 6.7561 Å, 73.01 73.01 33.90°
Closest atoms and distances in Å follow each position.
Positions (direct):
La (0.0000, 0.0000, 0.0000)  8 W 2.92-3.00, 2 La 3.20
W (0.6694, 0.6694, 0.1817)  6 W 2.76-2.98, 2 La 2.92
W (0.3224, 0.3224, 0.3538)  6 W 2.63-2.85
W (0.0000, 0.0000, 0.5000)  8 W 2.83-2.85
W (0.6776, 0.6776, 0.6462)  6 W 2.63-2.85
W (0.3306, 0.3306, 0.8183)  6 W 2.76-2.98, 2 La 2.92

Output
DOS(E_F): 0.60 states/eV per atom
Volume: 107.8 Å³/cell

=====

The structure with the most favorable energy is 1; the runner-up is 136 meV per atom above it.

=====

--- 1 ---
Below is an optimized crystal structure of La3W5, with properties calculated at the GGA-PBE level.

Cell: 5.9842 5.9842 4.9467 Å, 90.00 90.00 103.48°
Closest atoms and distances in Å follow each position.
Positions (direct):
La (0.5000, 0.5000, 0.0000)  4 W 2.99, 4 La 3.20
La (0.7160, 0.2840, 0.5000)  8 W 2.94-3.20, 2 La 3.20
La (0.2840, 0.7160, 0.5000)  8 W 2.94-3.20, 2 La 3.20
W (0.0000, 0.0000, 0.0000)  8 W 2.77-2.99
W (0.5000, 0.0000, 0.0000)  6 La 2.99-3.11, 2 W 2.99
W (0.0000, 0.5000, 0.0000)  6 La 2.99-3.11, 2 W 2.99
W (0.8330, 0.8330, 0.5000)  3 W 2.47-2.77
W (0.1670, 0.1670, 0.5000)  3 W 2.47-2.77

Output
DOS(E_F): 1.30 states/eV per atom
Volume: 172.3 Å³/cell

=====

--- 2 ---
Below is an optimized crystal structure of La3W5, with properties calculated at the GGA-PBE level.

Cell: 10.1013 10.1017 4.7282 Å, 90.00 90.00 60.00°
Closest atoms and distances in Å follow each position.
Positions (direct):
W (0.8527, 0.1473, 0.2500)  6 W 2.58-2.79
W (0.1474, 0.8526, 0.7500)  6 W 2.58-2.79
W (0.1474, 0.0000, 0.2500)  6 W 2.58-2.79
W (0.0000, 0.1473, 0.7500)  6 W 2.58-2.79
W (0.6667, 0.6667, 0.0000)  2 W 2.36
W (0.6667, 0.6667, 0.5000)  2 W 2.36
W (0.3333, 0.3333, 0.0000)  2 W 2.36
W (0.3333, 0.3333, 0.5000)  2 W 2.36
W (0.8527, 0.0000, 0.7500)  6 W 2.58-2.79
W (0.0000, 0.8527, 0.2500)  6 W 2.58-2.79
La (0.6205, 0.3795, 0.7500)  8 W 3.33-3.37, 2 La 3.39
La (0.3795, 0.6204, 0.2500)  8 W 3.33-3.37, 2 La 3.39
La (0.3795, 0.0000, 0.7500)  8 W 3.33-3.37, 2 La 3.39
La (0.0000, 0.3795, 0.2500)  8 W 3.33-3.37, 2 La 3.39
La (0.6205, 0.0000, 0.2500)  8 W 3.33-3.37, 2 La 3.39
La (0.0000, 0.6205, 0.7500)  8 W 3.33-3.37, 2 La 3.39

Output
DOS(E_F): 0.90 states/eV per atom
Volume: 417.8 Å³/cell

=====

The structure with the most favorable energy is 1; the runner-up is 40 meV per atom above it.

=====

--- 1 ---
Below is an optimized crystal structure of La2YW, with properties calculated at the GGA-PBE level.

Cell: 4.7183 4.7183 4.9212 Å, 90.00 90.00 90.00°
Closest atoms and distances in Å follow each position.
Positions (direct):
La (0.0000, 0.0000, 0.0000)  4 La 3.34, 4 W 3.41, 4 Y 3.41
La (0.5000, 0.5000, 0.0000)  4 La 3.34, 4 Y 3.41, 4 W 3.41
W (0.5000, 0.0000, 0.5000)  4 Y 3.34, 8 La 3.41
Y (0.0000, 0.5000, 0.5000)  4 W 3.34, 8 La 3.41

Output
DOS(E_F): 1.37 states/eV per atom
Volume: 109.6 Å³/cell

=====

--- 2 ---
Below is an optimized crystal structure of La2YW, with properties calculated at the GGA-PBE level.

Cell: 10.7875 10.7875 10.7875 Å, 19.04 19.04 19.04°
Closest atoms and distances in Å follow each position.
Positions (direct):
La (0.9986, 0.9986, 0.9986)  9 La 3.57-3.75, 3 Y 3.83
La (0.2334, 0.2334, 0.2334)  3 W 2.93
W (0.5010, 0.5010, 0.5010)  3 La 2.93, 3 Y 2.97
Y (0.7670, 0.7670, 0.7670)  3 W 2.97

Output
DOS(E_F): 1.72 states/eV per atom
Volume: 116.8 Å³/cell

=====

The structure with the most favorable energy is 2; the runner-up is 17 meV per atom above it.

=====

--- 1 ---
Below is an optimized crystal structure of La2YW, with properties calculated at the GGA-PBE level.

Cell: 4.8204 3.5409 6.8493 Å, 72.12 90.00 90.00°
Closest atoms and distances in Å follow each position.
Positions (direct):
La (0.0000, 0.0766, 0.0304)  2 W 3.00, 1 La 3.18
La (0.0000, 0.4234, 0.4696)  2 W 3.00, 1 La 3.18
W (0.5000, 0.2500, 0.2500)  4 La 3.00, 2 Y 3.34
Y (0.5000, 0.7500, 0.7500)  2 W 3.34, 8 La 3.49-3.52, 2 Y 3.54

Output
DOS(E_F): 1.32 states/eV per atom
Volume: 111.3 Å³/cell

=====

--- 2 ---
Below is an optimized crystal structure of La2YW, with properties calculated at the GGA-PBE level.

Cell: 6.4858 6.4858 6.4858 Å, 146.31 128.96 62.56°
Closest atoms and distances in Å follow each position.
Positions (direct):
La (0.9987, 0.9987, 0.0000)  4 W 3.37, 4 La 3.57-3.76, 2 Y 3.59
La (0.6995, 0.1995, 0.5000)  2 W 2.85
W (0.5066, 0.5066, 0.0000)  2 La 2.85, 2 Y 3.00
Y (0.2952, 0.7952, 0.5000)  2 W 3.00

Output
DOS(E_F): 1.40 states/eV per atom
Volume: 116.4 Å³/cell

=====

The structure with the most favorable energy is 2; the runner-up is 87 meV per atom above it.